Model a:
Computed, not measured: Pm2HoCo after structural relaxation at the PBE-GGA level of DFT.

POSCAR file:
```
Pm2HoCo
1.0
6.267 0.000 0.000
0.000 6.546 -0.003
0.000 0.005 11.310
Co Pm Ho
4 8 4
direct
0.000 0.250 0.589
0.000 0.750 0.411
0.500 0.250 0.911
0.500 0.750 0.089
0.754 0.412 0.414
0.746 0.412 0.086
0.746 0.912 0.914
0.754 0.912 0.586
0.246 0.588 0.586
0.254 0.588 0.914
0.246 0.088 0.414
0.254 0.088 0.086
0.750 0.419 0.750
0.750 0.919 0.250
0.250 0.081 0.750
0.250 0.581 0.250
```

Properties
**Symmetry**: Pnna, No. 52

---

Model b:
Computed, not measured: Pm2HoCo after structural relaxation at the PBE-GGA level of DFT.

POSCAR file:
```
Pm2HoCo
1.0
3.507 0.000 0.000
0.000 3.507 0.000
0.000 0.000 8.812
Pm Co Ho
2 1 1
direct
0.000 0.000 0.190
0.000 0.000 0.810
0.500 0.500 0.000
0.500 0.500 0.500
```

Properties
**Symmetry**: P4/mmm, No. 123

---

Model c:
Computed, not measured: Pm2HoCo after structural relaxation at the PBE-GGA level of DFT.

POSCAR file:
```
Pm2HoCo
1.0
-2.348 2.974 -4.958
-1.990 -6.163 -2.755
-8.641 0.757 4.546
Pm Ho Co
8 4 4
direct
0.176 0.676 0.430
0.324 0.176 0.430
0.176 0.676 0.070
0.824 0.324 0.930
0.824 0.324 0.570
0.676 0.824 0.930
0.676 0.824 0.570
0.324 0.176 0.070
0.653 0.543 0.250
0.347 0.457 0.750
0.153 0.957 0.750
0.847 0.043 0.250
0.451 0.883 0.250
0.049 0.383 0.250
0.549 0.117 0.750
0.951 0.617 0.750
```

Properties
**Symmetry**: Pnma, No. 62

---

Here are the energies relative to the best structure, in eV/atom: model a 0.052; model b 0.162; model c 0.000.

---

Model a:
Computed, not measured: Pm2HoCo after structural relaxation at the PBE-GGA level of DFT.

POSCAR file:
```
Pm2HoCo
1.0
3.629 0.000 0.000
1.815 3.143 0.000
1.815 1.048 10.434
Pm Co Ho
2 1 1
direct
0.112 0.112 0.664
0.888 0.888 0.336
0.500 0.500 0.500
0.000 0.000 0.000
```

Properties
**Symmetry**: R-3m, No. 166

---

Model b:
Computed, not measured: Pm2HoCo after structural relaxation at the PBE-GGA level of DFT.

POSCAR file:
```
Pm2HoCo
1.0
3.812 0.000 0.000
1.906 3.301 0.000
1.906 1.100 9.135
Co Pm Ho
1 2 1
direct
0.666 0.666 0.001
0.058 0.058 0.825
0.275 0.275 0.176
0.501 0.501 0.498
```

Properties
**Symmetry**: R3m, No. 160

---

Here are the energies relative to the best structure, in eV/atom: model a 0.160; model b 0.000.